Material: Sr3PaFe2O9
Method: DFT, GGA+U
State: relaxed

Cell lengths 5.7351, 5.7351, 7.2485 Å; angles 90.00, 90.00, 120.00 degrees
Site moments in Bohr magnetons follow the coordinates.
Element x y z (fractional)
Sr (0.3333, 0.6667, 0.7158)  0.00
Sr (0.0000, 0.0000, 0.0000)  0.00
Sr (0.6667, 0.3333, 0.2842)  0.00
Pa (0.0000, 0.0000, 0.5000)  0.11
Fe (0.3333, 0.6667, 0.1586)  4.17
Fe (0.6667, 0.3333, 0.8414)  4.17
O (0.8293, 0.1707, 0.6817)  0.04
O (0.8293, 0.6587, 0.6817)  0.04
O (0.3413, 0.1707, 0.6817)  0.04
O (0.6587, 0.8293, 0.3183)  0.04
O (0.1707, 0.3413, 0.3183)  0.04
O (0.1707, 0.8293, 0.3183)  0.04
O (0.5000, 0.0000, 0.0000)  0.05
O (0.0000, 0.5000, 0.0000)  0.05
O (0.5000, 0.5000, 0.0000)  0.05

The density of states at the Fermi level is 2.6 states/eV per cell. The value obtained for the raw total energy is -7.21 eV per atom. Its density is 6.03 Mg/m³. As for the symmetry: P-3m1 (164).